Record 1
The following is a PBE calculation of a relaxed ZrBePdRh2 crystal, from Alexandria.

Output
ΔE_f (meV per atom): -575.4
Crystal system: tetragonal
Calculated volume (Å³ per cell): 74.2

Cell lengths 4.222, 4.222, 4.160 Å; angles 90.00, 90.00, 90.00 degrees
Space group P4/mmm (No. 123)
Inequivalent atoms, fractional coordinates:
Zr 0.000 0.000 0.000 x1
Be 0.500 0.500 0.500 x1
Pd 0.500 0.500 0.000 x1
Rh 0.000 0.500 0.500 x2

---

Record 2
The following is a PBE calculation of a relaxed BePdRu2 crystal, from Alexandria.

Output
ΔE_f (meV per atom): 464.1
Crystal system: tetragonal
Calculated volume (Å³ per cell): 230.5

Cell lengths 3.564, 3.564, 18.152 Å; angles 90.00, 90.00, 90.00 degrees
Space group I-42d (No. 122)
Inequivalent atoms, fractional coordinates:
Be 0.000 0.000 0.000 x4
Pd 0.000 0.000 0.500 x4
Ru 0.217 0.250 0.125 x8

---

Record 3
The following is a PBE calculation of a relaxed Be2PdRu crystal, from Alexandria.

Output
ΔE_f (meV per atom): 61.2
Crystal system: tetragonal
Calculated volume (Å³ per cell): 192.8

Cell lengths 5.953, 5.953, 5.439 Å; angles 90.00, 90.00, 90.00 degrees
Space group I-42d (No. 122)
Inequivalent atoms, fractional coordinates:
Be 0.250 0.250 0.125 x8
Pd 0.000 0.000 0.000 x4
Ru 0.000 0.000 0.500 x4

---

Record 4
The following is a PBE calculation of a relaxed Be3PdRu crystal, from Alexandria.

Output
Energy above the most stable polymorph in this dataset (eV per atom): 0.000
ΔE_f (meV per atom): 528.2
Crystal system: cubic
Calculated volume (Å³ per cell): 67.4

Cell lengths 4.069, 4.069, 4.069 Å; angles 90.00, 90.00, 90.00 degrees
Space group Pm-3m (No. 221)
Inequivalent atoms, fractional coordinates:
Be 0.000 0.000 0.500 x3
Pd 0.500 0.500 0.500 x1
Ru 0.000 0.000 0.000 x1

---

Record 5
The following is a PBE calculation of a relaxed Be4Pd3Ru crystal, from Alexandria.

Output
ΔE_f (meV per atom): -505.5
Crystal system: tetragonal
Calculated volume (Å³ per cell): 89.9

Cell lengths 2.822, 2.822, 11.288 Å; angles 90.00, 90.00, 90.00 degrees
Space group P4/mmm (No. 123)
Inequivalent atoms, fractional coordinates:
Be 0.000 0.000 0.114 x2
Be 0.000 0.000 0.371 x2
Pd 0.500 0.500 0.250 x2
Pd 0.500 0.500 0.500 x1
Ru 0.500 0.500 0.000 x1

---

Record 6
The following is a PBE calculation of a relaxed BePd3Ru crystal, from Alexandria.

Output
Energy above the most stable polymorph in this dataset (eV per atom): 1.188
ΔE_f (meV per atom): 1540.8
Crystal system: cubic
Calculated volume (Å³ per cell): 107.9

Cell lengths 4.760, 4.760, 4.760 Å; angles 90.00, 90.00, 90.00 degrees
Space group Pm-3m (No. 221)
Inequivalent atoms, fractional coordinates:
Be 0.000 0.000 0.000 x1
Pd 0.000 0.500 0.500 x3
Ru 0.500 0.500 0.500 x1

---

Record 7
The following is a PBE calculation of a relaxed Be2PdRu crystal, from Alexandria.

Output
ΔE_f (meV per atom): -413.0
Crystal system: orthorhombic
Calculated volume (Å³ per cell): 88.7

Cell lengths 3.995, 2.787, 7.970 Å; angles 90.00, 90.00, 90.00 degrees
Space group Pmma (No. 51)
Inequivalent atoms, fractional coordinates:
Be 0.250 0.000 0.129 x2
Be 0.250 0.000 0.640 x2
Pd 0.250 0.500 0.380 x2
Ru 0.250 0.500 0.883 x2

---

Record 8
The following is a PBE calculation of a relaxed Be2PdRu2 crystal, from Alexandria.

Output
Energy above the most stable polymorph in this dataset (eV per atom): 0.000
ΔE_f (meV per atom): -189.3
Crystal system: tetragonal
Calculated volume (Å³ per cell): 116.1

Cell lengths 6.074, 6.074, 3.147 Å; angles 90.00, 90.00, 90.00 degrees
Space group P4/mbm (No. 127)
Inequivalent atoms, fractional coordinates:
Be 0.125 0.375 0.000 x4
Pd 0.000 0.000 0.000 x2
Ru 0.171 0.671 0.500 x4